# 1
LuHfGaRh | Alexandria | PBE-GGA | optimized geometry; formation enthalpy at 0 K = -0.61 eV per atom; E = -27.29 eV/cell
1.0
4.764 0.000 0.000
2.382 4.125 0.000
2.382 1.375 3.889
Lu Rh Hf Ga
1 1 1 1
direct
0.000 0.000 0.000 Lu
0.750 0.750 0.750 Rh
0.500 0.500 0.500 Hf
0.250 0.250 0.250 Ga



# 2
Pu2SiCl | Alexandria | PBE-GGA | optimized geometry; E_form (uncorrected) = -0.713 eV per atom; E = -38.79 eV/cell; polymorph energy (0 for the lowest one) = 0.021 eV/atom
1.0
4.192 0.000 0.000
2.096 3.631 0.000
2.096 1.210 6.349
Pu Cl Si
2 1 1
direct
0.251 0.251 0.246 Pu
0.749 0.749 0.754 Pu
0.500 0.500 0.500 Cl
0.000 0.000 0.000 Si



# 3
Zn2MoOs | Alexandria | PBE-GGA | optimized geometry; formation enthalpy at 0 K = 0.29 eV per atom; E = -23.44 eV/cell; polymorph energy (0 for the lowest one) = 0.245 eV/atom
1.0
-1.608 2.106 0.371
-0.213 -0.918 -2.504
-6.497 -5.408 2.534
Mo Os Zn
1 1 2
direct
0.500 0.500 0.250 Mo
0.500 0.500 0.750 Os
0.000 0.000 0.504 Zn
0.000 0.000 0.996 Zn



# 4
TlFe2As | Alexandria | PBE-GGA | optimized geometry; formation enthalpy at 0 K = 0.20 eV per atom; E = -23.16 eV/cell; polymorph energy (0 for the lowest one) = 0.000 eV/atom
1.0
-1.756 -1.974 -1.596
-0.273 -1.783 2.504
-6.091 3.778 2.026
Tl Fe As
1 2 1
direct
0.000 0.000 0.448 Tl
0.000 0.000 0.017 Fe
0.500 0.500 0.188 Fe
0.500 0.500 0.847 As



# 5
TlZnAs2Se | Alexandria | PBE-GGA | optimized geometry; E_form (uncorrected) = 0.411 eV per atom; E = -14.37 eV/cell; polymorph energy (0 for the lowest one) = 0.000 eV/atom
1.0
-0.833 3.763 -3.023
-4.599 0.312 1.656
1.585 3.378 3.767
Tl As Zn Se
1 2 1 1
direct
0.500 0.500 0.500 Tl
0.000 0.500 0.000 As
0.500 0.000 0.000 As
0.000 0.000 0.000 Zn
0.000 0.000 0.500 Se



# 6
Sb2SeSI | Alexandria | PBE-GGA | optimized geometry; E_form (uncorrected) = 0.694 eV per atom; E = -13.94 eV/cell; polymorph energy (0 for the lowest one) = 0.000 eV/atom
1.0
-4.009 -3.530 -1.025
3.170 -4.088 1.679
-1.736 0.598 4.732
Sb I S Se
2 1 1 1
direct
0.000 0.500 0.000 Sb
0.500 0.000 0.000 Sb
0.000 0.000 0.500 I
0.000 0.000 0.000 S
0.500 0.500 0.500 Se



# 7
MoRu2N | Alexandria | PBE-GGA | optimized geometry; E_form (uncorrected) = 0.505 eV per atom; E = -71.37 eV/cell
1.0
5.101 0.000 0.000
0.000 5.101 0.000
2.551 2.551 4.842
Mo Ru N
2 4 2
direct
0.000 0.000 0.000 Mo
0.750 0.250 0.500 Mo
0.875 0.793 0.750 Ru
0.543 0.125 0.250 Ru
0.375 0.457 0.750 Ru
0.207 0.625 0.250 Ru
0.250 0.750 0.500 N
0.500 0.500 0.000 N



# 8
Ag2Bi2Br | Alexandria | PBE-GGA | optimized geometry; E_form (uncorrected) = 0.084 eV per atom; E = -29.43 eV/cell; polymorph energy (0 for the lowest one) = 0.028 eV/atom
1.0
8.706 0.000 0.000
0.000 8.706 0.000
0.000 0.000 3.456
Bi Ag Br
4 4 2
direct
0.134 0.634 0.500 Bi
0.366 0.134 0.500 Bi
0.634 0.866 0.500 Bi
0.866 0.366 0.500 Bi
0.160 0.340 0.000 Ag
0.660 0.160 0.000 Ag
0.840 0.660 0.000 Ag
0.340 0.840 0.000 Ag
0.000 0.000 0.000 Br
0.500 0.500 0.000 Br